A plane-wave DFT calculation with PBE was carried out for a relaxed structure of Th3BiIrSe.

Output
Total DFT energy (no corrections), eV/atom: -7.286
ΔE_f (raw), eV/atom: -0.872
Spin magnetization, Bohr magnetons per cell: 0.00
Crystal system: monoclinic

Cell: 4.501 7.862 10.236 Å, 108.20 90.00 90.00°
Sites, in units of the cell vectors:
Se 0.250 0.120 0.623
Se 0.750 0.880 0.377
Bi 0.750 0.737 0.720
Bi 0.250 0.263 0.280
Ir 0.250 0.722 0.121
Ir 0.750 0.278 0.879
Th 0.250 0.511 0.848
Th 0.250 0.070 0.898
Th 0.750 0.489 0.152
Th 0.250 0.717 0.476
Th 0.750 0.930 0.102
Th 0.750 0.283 0.524


A plane-wave DFT calculation with PBE was carried out for a relaxed structure of Th6BiIr2Se3.

Output
Total DFT energy (no corrections), eV/atom: -7.575
ΔE_f (raw), eV/atom: -1.194
Spin magnetization, Bohr magnetons per cell: 0.00
Crystal system: monoclinic

Cell: 4.192 8.884 9.610 Å, 102.65 102.60 90.00°
Sites, in units of the cell vectors:
Th 0.012 0.274 0.023
Th 0.676 0.114 0.351
Th 0.324 0.886 0.649
Th 0.326 0.440 0.653
Th 0.674 0.560 0.347
Th 0.988 0.726 0.977
Se 0.843 0.169 0.685
Se 0.157 0.831 0.315
Se 0.500 0.500 0.000
Bi 0.500 0.000 0.000
Ir 0.170 0.333 0.339
Ir 0.830 0.667 0.661


What is the spin magnetization in the first record?
0.00 Bohr magnetons per cell


Which of these has the highest total DFT energy (no corrections)?
Th3BiIrSe


Which of these has the highest ΔE_f (raw)?
Th3BiIrSe


Which value of spin magnetization does entry 2 give?
0.00 Bohr magnetons per cell